Entry 1:
Entry from Alexandria via LeMat-Bulk: crystalline CaSbAu2 at its relaxed geometry (GGA-PBE).

Summary:
Space group: R3m (160)
Size of the total moment: 0.0 μB per formula unit
Formation energy without anion corrections: -511 meV/atom
Final energy: -0.1353 hartree per atom

Unit cell a=5.975 b=5.975 c=5.975 alpha=45.88 beta=45.88 gamma=45.88
Positions (direct):
1 Sb 0.682 0.682 0.682
2 Ca 0.487 0.487 0.487
3 Au 0.071 0.071 0.071
4 Au 0.260 0.260 0.260

Entry 2:
Entry from Alexandria via LeMat-Bulk: crystalline Al2Zn2Bi at its relaxed geometry (GGA-PBE).

Summary:
Space group: I4/mmm (139)
Size of the total moment: 0.0 μB per formula unit
ΔE_f: 0.104 eV/atom
Final energy: -0.0984 hartree per atom
Energy above the most stable polymorph in this dataset: 0 meV/atom

Unit cell a=4.100 b=4.100 c=6.564 alpha=71.80 beta=71.80 gamma=90.00
Positions (direct):
1 Zn 0.394 0.394 0.212
2 Zn 0.606 0.606 0.788
3 Bi 0.000 0.000 0.000
4 Al 0.750 0.250 0.500
5 Al 0.250 0.750 0.500

Entry 3:
Entry from Alexandria via LeMat-Bulk: crystalline CaLaIn at its relaxed geometry (GGA-PBE).

Summary:
Space group: Cm (8)
Size of the total moment: 0.0 μB per formula unit
ΔE_f: -0.295 eV/atom
Final energy: -0.1293 hartree per atom
Energy above the most stable polymorph in this dataset: 151 meV/atom

Unit cell a=3.840 b=5.765 c=8.783 alpha=89.91 beta=77.39 gamma=90.00
Positions (direct):
1 Ca 0.891 0.938 0.172
2 Ca 0.209 0.939 0.534
3 La 0.017 0.438 0.921
4 La 0.676 0.439 0.599
5 In 0.344 0.438 0.266
6 In 0.558 0.939 0.837

Entry 4:
Entry from Alexandria via LeMat-Bulk: crystalline ZnCdFe2 at its relaxed geometry (GGA-PBE).

Summary:
Space group: R3m (160)
Size of the total moment: 5.1 μB per formula unit
ΔE_f: 0.222 eV/atom
Final energy: -0.1675 hartree per atom

Unit cell a=9.027 b=9.027 c=9.027 alpha=17.96 beta=17.96 gamma=17.96
Each line ends with the local moment (μB).
Positions (direct):
1 Cd 0.255 0.255 0.255  -0.01
2 Fe 0.012 0.012 0.012  2.61
3 Fe 0.744 0.744 0.744  2.50
4 Zn 0.488 0.488 0.488  -0.03

Entry 5:
Entry from Alexandria via LeMat-Bulk: crystalline CoNiPH2 at its relaxed geometry (GGA-PBE).

Summary:
Space group: P4/mmm (123)
Size of the total moment: 0.9 μB per formula unit
Final energy: -0.1747 hartree per atom
Energy above the most stable polymorph in this dataset: 0 meV/atom

Unit cell a=3.184 b=4.691 c=3.184 alpha=90.00 beta=90.00 gamma=90.00
Each line ends with the local moment (μB).
Positions (direct):
1 Ni 0.000 0.000 0.000  0.04
2 Co 0.500 0.500 0.500  0.80
3 H 0.000 0.000 0.500  0.00
4 H 0.500 0.000 0.000  0.01
5 P 0.000 0.500 0.000  0.03

Entry 6:
Entry from Alexandria via LeMat-Bulk: crystalline CeBeSi2Rh2 at its relaxed geometry (GGA-PBE).

Summary:
Space group: P4/mmm (123)
Size of the total moment: 0.5 μB per formula unit
Formation energy without anion corrections: -258 meV/atom
Final energy: -0.2251 hartree per atom

Unit cell a=4.220 b=4.220 c=5.474 alpha=90.00 beta=90.00 gamma=90.00
Each line ends with the local moment (μB).
Positions (direct):
1 Ce 0.000 0.000 0.500  0.47
2 Be 0.000 0.000 0.000  0.03
3 Si 0.500 0.000 0.000  0.00
4 Si 0.000 0.500 0.000  0.00
5 Rh 0.500 0.500 0.749  -0.02
6 Rh 0.500 0.500 0.251  -0.02

Entry 7:
Entry from Alexandria via LeMat-Bulk: crystalline LaAgTeI2 at its relaxed geometry (GGA-PBE).

Summary:
Space group: P4/mmm (123)
Size of the total moment: 0.3 μB per formula unit
Formation energy without anion corrections: -397 meV/atom
Final energy: -0.1177 hartree per atom
Energy above the most stable polymorph in this dataset: 108 meV/atom

Unit cell a=5.580 b=5.580 c=5.716 alpha=90.00 beta=90.00 gamma=90.00
Each line ends with the local moment (μB).
Positions (direct):
1 I 0.000 0.500 0.000  0.01
2 I 0.500 0.000 0.000  0.01
3 Te 0.000 0.000 0.500  0.01
4 Ag 0.000 0.000 0.000  0.00
5 La 0.500 0.500 0.500  -0.28

Entry 8:
Entry from Alexandria via LeMat-Bulk: crystalline LaP2Ir at its relaxed geometry (GGA-PBE).

Summary:
Space group: Cmmm (65)
Size of the total moment: 0.0 μB per formula unit
ΔE_f: -0.270 eV/atom
Final energy: -0.2360 hartree per atom

Unit cell a=4.412 b=4.412 c=3.833 alpha=90.00 beta=90.00 gamma=86.00
Positions (direct):
1 Ir 0.500 0.000 0.500
2 La 0.000 0.500 0.500
3 P 0.000 0.000 0.000
4 P 0.500 0.500 0.000